1.
Material: TeAuN2O
Method: DFT, PBE-GGA
State: optimized geometry

Computed properties:
formation energy (no corrections)	179.1	kJ/mol of atoms

```
TeAuN2O
1.0
3.738 0.000 0.000
0.000 3.738 0.000
0.000 0.000 6.436
Te Au N O
1 1 2 1
Direct
0.000 0.000 0.000 Te
0.000 0.000 0.500 Au
0.000 0.500 0.500 N
0.500 0.000 0.500 N
0.500 0.500 0.000 O
```

2.
Material: LaCrOs3
Method: DFT, PBE-GGA
State: optimized geometry

Computed properties:
distance to the lowest polymorph of the same formula	12.25	eV per formula unit
formation energy	1557	kJ/mol of formula units

```
LaCrOs3
1.0
4.777 0.000 0.000
0.000 4.777 0.000
0.000 0.000 4.777
La Cr Os
1 1 3
Direct
0.000 0.000 0.000 La
0.500 0.500 0.500 Cr
0.000 0.000 0.500 Os
0.000 0.500 0.000 Os
0.500 0.000 0.000 Os
```

3.
Material: ErScBe2
Method: DFT, PBE-GGA
State: optimized geometry

Computed properties:
distance to the lowest polymorph of the same formula	0.00	eV per formula unit
formation energy	8	kJ/mol of formula units

```
ErScBe2
1.0
3.281 0.000 0.000
0.000 3.281 0.000
0.000 0.000 6.526
Er Sc Be
1 1 2
Direct
0.000 0.000 0.000 Er
0.000 0.000 0.500 Sc
0.500 0.500 0.283 Be
0.500 0.500 0.717 Be
```

| no. | magnetic moment (μB per atom) |
| --- | --- |
| 1 | 0.265 |
| 2 | 0.017 |
| 3 | 0.000 |